# VIrF3

VIrF3 after structural relaxation (PBE+U, Alexandria via LeMat-Bulk).

Its symmetry is Pm-3m (221). The calculation puts the density of states at the Fermi level at 1.700 states/eV per atom. The excess energy over the best structure of this formula in the dataset comes out at 0 meV/atom. For the calculated volume, the calculation gives 14.1 A^3/atom.

Structure (POSCAR):
```
VIrF3
1.0
-4.098 0.180 0.517
-0.467 -3.189 -2.590
0.286 -2.625 3.181
F Ir V
3 1 1
direct
0.500 0.000 0.000 F
0.000 0.000 0.500 F
0.000 0.500 0.000 F
0.500 0.500 0.500 Ir
0.000 0.000 0.000 V
```